Record 1
# LiPm2In2H

An optimized crystal structure of LiPm2In2H (PBE, Alexandria via LeMat-Bulk).

**Total DFT energy (no corrections)**: -43.99 eV per cell
**Calculated volume**: 273.3 Å³/cell
**DOS(E_F)**: 0.527 states/eV/atom
**Total magnetization**: 0.000 μB per formula unit

```
12
Lattice="-3.294 6.902 3.005 3.294 -6.902 3.005 3.294 6.902 -3.005" Properties=species:S:1:pos:R:3 pbc="T T T"
Li 0.000 0.000 1.503
Li 0.000 0.000 4.508
Pm 4.193 1.583 0.000
Pm 0.899 5.319 0.000
Pm 2.396 1.583 3.005
Pm -0.899 5.319 3.005
In 0.957 2.073 0.000
In 4.252 4.829 0.000
In -0.957 2.073 3.005
In 2.337 4.829 3.005
H 3.294 0.000 1.503
H 0.000 6.902 1.503
```



Record 2
# Na5Sm3H12

An optimized crystal structure of Na5Sm3H12 (PBE, Alexandria via LeMat-Bulk).

**Total DFT energy (no corrections)**: -266.86 eV per cell
**Calculated volume**: 1106.9 Å³/cell
**DOS(E_F)**: 0.302 states/eV/atom
**Total magnetization**: 0.000 μB per formula unit

```
80
Lattice="-6.517 6.517 6.517 6.517 -6.517 6.517 6.517 6.517 -6.517" Properties=species:S:1:pos:R:3 pbc="T T T"
Na 0.000 0.000 0.000
Na 3.258 3.258 -3.258
Na 3.258 -3.258 3.258
Na 6.517 0.000 0.000
Na 9.775 1.629 0.000
Na 6.517 -3.258 4.887
Na 4.887 6.517 -3.258
Na 4.887 0.000 3.258
Na 3.258 4.887 0.000
Na 6.517 3.258 1.629
Na -3.258 3.258 3.258
Na 0.000 6.517 0.000
Na 0.000 0.000 6.517
Na 3.258 3.258 3.258
Na 0.000 3.258 4.887
Na 3.258 1.629 6.517
Na 1.629 6.517 3.258
Na 1.629 0.000 9.775
Na 0.000 9.775 1.629
Na -3.258 4.887 6.517
Sm 3.258 1.629 0.000
Sm 6.517 3.258 -1.629
Sm 1.629 0.000 3.258
Sm 8.146 0.000 3.258
Sm 0.000 3.258 1.629
Sm 3.258 -1.629 6.517
Sm 3.258 8.146 0.000
Sm 6.517 3.258 4.887
Sm -1.629 6.517 3.258
Sm 4.887 6.517 3.258
Sm 0.000 3.258 8.146
Sm 3.258 4.887 6.517
H 2.057 -0.174 0.956
H 7.718 4.215 -3.433
H 6.342 -0.956 2.057
H 9.949 -1.201 2.302
H 8.574 0.174 0.956
H 7.718 -2.302 3.433
H 0.956 2.057 -0.174
H 8.818 3.084 -1.201
H 4.215 3.433 -1.201
H 5.560 2.057 0.174
H -0.174 0.956 2.057
H 3.433 -1.201 4.215
H 6.342 5.560 -2.057
H 3.433 1.201 2.302
H 5.560 -2.057 6.342
H 4.215 -3.433 7.718
H 2.302 3.433 1.201
H 7.473 4.459 0.174
H 2.057 6.342 -0.956
H 7.718 2.302 3.084
H 3.433 7.718 -2.302
H 6.342 0.956 4.459
H 1.201 2.302 3.433
H 2.057 0.174 5.560
H 4.459 6.342 0.956
H 5.315 4.215 3.084
H 0.174 5.560 2.057
H 3.084 -1.201 8.818
H -1.201 4.215 3.433
H 4.459 0.174 7.473
H -0.956 2.057 6.342
H 4.215 3.084 5.315
H 2.302 9.949 -1.201
H 0.956 8.574 0.174
H 3.084 5.315 4.215
H 0.174 0.956 8.574
H 3.084 7.718 2.302
H 6.691 5.560 4.459
H 0.956 4.459 6.342
H 2.302 3.084 7.718
H -2.302 3.433 7.718
H 5.560 4.459 6.691
H -1.201 8.818 3.084
H -2.057 6.342 5.560
H -3.433 7.718 4.215
H 0.174 7.473 4.459
H -1.201 2.302 9.949
H 4.459 6.691 5.560
```